DFT (PBE) results for crystalline CaNi6As2 at its relaxed geometry.

a = 3.843 Å, b = 3.843 Å, c = 8.764 Å
α = 90.00°, β = 90.00°, γ = 90.00°
Fractional coordinates of all 9 atoms:
Ca 0.000 0.000 0.000
Ni 0.000 0.000 0.500
Ni 0.000 0.500 0.321
Ni 0.000 0.500 0.679
Ni 0.500 0.000 0.321
Ni 0.500 0.000 0.679
Ni 0.500 0.500 0.500
As 0.500 0.500 0.174
As 0.500 0.500 0.826

Values from the calculation:
total energy	-48.74	eV/cell
energy relative to the elements	-0.305	eV/atom
Fermi-level density of states	13.9	states/eV per cell

DFT (PBE) results for crystalline HgPI2O at its relaxed geometry.

a = 5.986 Å, b = 5.986 Å, c = 4.053 Å
α = 90.00°, β = 90.00°, γ = 90.00°
Fractional coordinates of all 5 atoms:
Hg 0.000 0.000 0.000
P 0.500 0.500 0.500
I 0.000 0.500 0.000
I 0.500 0.000 0.000
O 0.000 0.000 0.500

Values from the calculation:
formation energy from raw total energies	0.792	eV/atom
total energy	-9.81	eV/cell
Fermi-level density of states	7.4	states/eV per cell

DFT (PBE) results for crystalline LiCdCl3 at its relaxed geometry.

a = 5.205 Å, b = 5.205 Å, c = 5.205 Å
α = 90.00°, β = 90.00°, γ = 90.00°
Fractional coordinates of all 5 atoms:
Li 0.000 0.000 0.000
Cd 0.500 0.500 0.500
Cl 0.000 0.500 0.500
Cl 0.500 0.000 0.500
Cl 0.500 0.500 0.000

Values from the calculation:
formation energy from raw total energies	-1.072	eV/atom
total energy	-13.73	eV/cell
Fermi-level density of states	0.0	states/eV per cell

DFT (PBE) results for crystalline TlSn2Te at its relaxed geometry.

a = 4.861 Å, b = 4.861 Å, c = 5.067 Å
α = 90.00°, β = 90.00°, γ = 90.00°
Fractional coordinates of all 4 atoms:
Tl 0.000 0.000 0.000
Sn 0.000 0.500 0.500
Sn 0.500 0.000 0.500
Te 0.500 0.500 0.000

Values from the calculation:
formation energy from raw total energies	0.025	eV/atom
total energy	-13.41	eV/cell
Fermi-level density of states	2.3	states/eV per cell

| no. | polymorph energy (0 for the lowest one) (meV/atom) |
| --- | --- |
| 1 | 0 |
| 2 | 911 |
| 3 | 301 |
| 4 | 24 |